No. 1
DFT (meta-GGA SCAN) results for a PBEsol-optimized structure of MgZnIr2.

Results
Calculated total energy = -40.437 eV per atom
DFT formation energy = -0.265 eV/atom
N(E_F) = 2.11 states/eV/f.u.

abc: 2.752 4.119 5.287
angles: 90.00 103.93 90.00
Fractional coordinates of all 4 atoms:
Ir (0.878, 0.000, 0.734)
Ir (0.122, 0.000, 0.266)
Mg (0.500, 0.500, 0.000)
Zn (0.500, 0.500, 0.500)

***

No. 2
DFT (meta-GGA SCAN) results for a PBEsol-optimized structure of MgZnIr2.

Results
Calculated total energy = -40.459 eV per atom
DFT formation energy = -0.287 eV/atom
N(E_F) = 1.56 states/eV/f.u.

abc: 2.796 4.552 4.827
angles: 100.50 90.00 107.89
Fractional coordinates of all 4 atoms:
Zn (0.500, 0.000, 0.000)
Ir (0.755, 0.509, 0.763)
Ir (0.245, 0.491, 0.237)
Mg (0.000, 0.000, 0.500)

***

No. 3
DFT (meta-GGA SCAN) results for a PBEsol-optimized structure of MgZn2Ir.

Results
Calculated total energy = -26.095 eV per atom
DFT formation energy = -0.319 eV/atom
N(E_F) = 0.80 states/eV/f.u.

abc: 3.179 4.202 5.028
angles: 114.70 108.43 90.00
Fractional coordinates of all 4 atoms:
Zn (0.013, 0.013, 0.025)
Zn (0.749, 0.249, 0.498)
Ir (0.490, 0.490, 0.979)
Mg (0.249, 0.749, 0.497)

***

No. 4
DFT (meta-GGA SCAN) results for a PBEsol-optimized structure of MgZn2Ir.

Results
Calculated total energy = -26.074 eV per atom
DFT formation energy = -0.298 eV/atom
N(E_F) = 1.84 states/eV/f.u.

abc: 3.855 3.855 3.849
angles: 90.00 90.00 90.00
Fractional coordinates of all 4 atoms:
Zn (0.000, 0.500, 0.000)
Zn (0.500, 0.000, 0.000)
Ir (0.500, 0.500, 0.500)
Mg (0.000, 0.000, 0.500)